(1)
Computed, not measured: a relaxed structure of Cr3PW at the GGA-PBE level of DFT.

Space group: Pm-3m, No. 221
DOS(E_F) (states/eV per cell): 3.48
E above lowest polymorph (kJ per mole of atoms): 100.7
Total moment (μB/f.u.): 8.7
V (A^3/atom): 20.521
Calculated formation energy (eV per atom): 1.67

CIF file:
```
data_Cr3PW
_symmetry_space_group_name_H-M 'P 1'
_symmetry_Int_Tables_number 1
_symmetry_space_group_name_Hall 'P 1'
_cell_length_a 4.682
_cell_length_b 4.682
_cell_length_c 4.682
_cell_angle_alpha 90.00
_cell_angle_beta 90.00
_cell_angle_gamma 90.00
loop_
_atom_site_label
_atom_site_type_symbol
_atom_site_fract_x
_atom_site_fract_y
_atom_site_fract_z
Cr1 Cr 0.000 0.000 0.500
Cr2 Cr 0.000 0.500 0.000
Cr3 Cr 0.500 0.000 0.000
P1 P 0.500 0.500 0.500
W1 W 0.000 0.000 0.000
```

(2)
Computed, not measured: a relaxed structure of BaLaTe at the GGA-PBE level of DFT.

Space group: F-43m, No. 216
ΔE_f (raw) (eV/f.u.): -2.2
DOS(E_F) (states/eV per cell): 3.27
E above lowest polymorph (kJ per mole of atoms): 24.6
Total moment (μB/f.u.): 0.3
V (A^3/atom): 40.112

CIF file:
```
data_BaLaTe
_symmetry_space_group_name_H-M 'P 1'
_symmetry_Int_Tables_number 1
_symmetry_space_group_name_Hall 'P 1'
_cell_length_a 5.542
_cell_length_b 5.542
_cell_length_c 5.542
_cell_angle_alpha 60.00
_cell_angle_beta 60.00
_cell_angle_gamma 60.00
loop_
_atom_site_label
_atom_site_type_symbol
_atom_site_fract_x
_atom_site_fract_y
_atom_site_fract_z
Ba1 Ba 0.000 0.000 0.000
La1 La 0.500 0.500 0.500
Te1 Te 0.250 0.250 0.250
```